Material: SrLaTiFeO6
Method: DFT, PBE+U
State: relaxed

Symmetry: F-43m (216)
Calculated total energy, eV per cell: -75.32
Polymorph energy (0 for the lowest one), meV per atom: 90

Cell lengths 5.4916, 5.4916, 5.4916 Å; angles 60.00, 60.00, 60.00 degrees
Last column: nearest neighbours and their distance in Å.
Element x y z (fractional)
1 La 0.5000 0.5000 0.5000  12 O 2.75
2 O 0.9989 0.5011 0.9989  1 Fe 1.93, 1 Ti 1.95
3 O 0.5011 0.9989 0.5011  1 Fe 1.93, 1 Ti 1.95
4 O 0.5011 0.5011 0.9989  1 Fe 1.93, 1 Ti 1.95
5 O 0.9989 0.9989 0.5011  1 Fe 1.93, 1 Ti 1.95
6 O 0.9989 0.5011 0.5011  1 Fe 1.93, 1 Ti 1.95
7 O 0.5011 0.9989 0.9989  1 Fe 1.93, 1 Ti 1.95
8 Sr 0.0000 0.0000 0.0000  12 O 2.75
9 Fe 0.7500 0.7500 0.7500  6 O 1.93
10 Ti 0.2500 0.2500 0.2500  6 O 1.95